{
  "formula": "Pm3SmPb2",
  "functional": "PBE",
  "state": "relaxed",
  "relative_energy_ev_per_fu": 0.00,
  "formation_energy_ev_per_atom": -0.443,
  "crystal_system": "tetragonal",
  "total_energy_ev_per_fu": -29.0,
  "lattice_angstrom": [[-1.9604, 3.5049, 2.3496], [-2.7929, 0.8642, -3.6195], [-6.0354, -5.6012, 3.3197]],
  "species": ["Pm", "Pm", "Pm", "Pb", "Pb", "Sm"],
  "frac_coords": [[0.5000, 0.0000, 0.3469], [0.0000, 0.5000, 0.6531], [0.0000, 0.0000, 0.0000], [0.0000, 0.5000, 0.2839], [0.5000, 0.0000, 0.7161], [0.5000, 0.5000, 0.0000]]
}